No. 1
# GGA-PBE BaCa2GaH, relaxed
data_BaCa2GaH
_chemical_formula_sum 'Ba1 Ca2 Ga1 H1'
_symmetry_space_group_name_H-M 'P 1'
_symmetry_Int_Tables_number 1
_symmetry_space_group_name_Hall 'P 1'
_cell_length_a 5.088
_cell_length_b 5.088
_cell_length_c 5.283
_cell_angle_alpha 90.00
_cell_angle_beta 90.00
_cell_angle_gamma 90.00
loop_
_atom_site_label
_atom_site_type_symbol
_atom_site_fract_x
_atom_site_fract_y
_atom_site_fract_z
Ca1 Ca 0.000 0.500 0.000
Ca2 Ca 0.500 0.000 0.000
Ba1 Ba 0.000 0.000 0.500
Ga1 Ga 0.500 0.500 0.500
H1 H 0.000 0.000 0.000
# Space-group type: P4/mmm
# DFT total energy: -2.69 eV per atom

No. 2
# GGA-PBE BaCa2GaHg, relaxed
data_BaCa2GaHg
_chemical_formula_sum 'Ba1 Ca2 Ga1 Hg1'
_symmetry_space_group_name_H-M 'P 1'
_symmetry_Int_Tables_number 1
_symmetry_space_group_name_Hall 'P 1'
_cell_length_a 6.909
_cell_length_b 5.725
_cell_length_c 6.909
_cell_angle_alpha 90.00
_cell_angle_beta 90.00
_cell_angle_gamma 90.00
loop_
_atom_site_label
_atom_site_type_symbol
_atom_site_fract_x
_atom_site_fract_y
_atom_site_fract_z
Ba1 Ba 0.000 0.000 0.000
Ca1 Ca 0.500 0.000 0.000
Ga1 Ga 0.000 0.500 0.000
Hg1 Hg 0.500 0.500 0.500
Ca2 Ca 0.000 0.000 0.500
# Space-group type: P4/mmm
# ΔE_f: 75.93 kJ/mol of atoms
# DFT total energy: -1.06 eV per atom

No. 3
# GGA-PBE BaCaGa2Ir, relaxed
data_BaCaGa2Ir
_chemical_formula_sum 'Ba1 Ca1 Ga2 Ir1'
_symmetry_space_group_name_H-M 'P 1'
_symmetry_Int_Tables_number 1
_symmetry_space_group_name_Hall 'P 1'
_cell_length_a 4.960
_cell_length_b 4.960
_cell_length_c 5.388
_cell_angle_alpha 90.00
_cell_angle_beta 90.00
_cell_angle_gamma 90.00
loop_
_atom_site_label
_atom_site_type_symbol
_atom_site_fract_x
_atom_site_fract_y
_atom_site_fract_z
Ba1 Ba 0.500 0.500 0.500
Ga1 Ga 0.000 0.500 0.000
Ca1 Ca 0.000 0.000 0.500
Ir1 Ir 0.000 0.000 0.000
Ga2 Ga 0.500 0.000 0.000
# Space-group type: P4/mmm
# ΔE_f: -38.78 kJ/mol of atoms
# DFT total energy: -4.17 eV per atom

No. 4
# GGA-PBE KBa2CaGa, relaxed
data_KBa2CaGa
_chemical_formula_sum 'K1 Ba2 Ca1 Ga1'
_symmetry_space_group_name_H-M 'P 1'
_symmetry_Int_Tables_number 1
_symmetry_space_group_name_Hall 'P 1'
_cell_length_a 6.676
_cell_length_b 6.676
_cell_length_c 6.074
_cell_angle_alpha 90.00
_cell_angle_beta 90.00
_cell_angle_gamma 90.00
loop_
_atom_site_label
_atom_site_type_symbol
_atom_site_fract_x
_atom_site_fract_y
_atom_site_fract_z
Ca1 Ca 0.000 0.000 0.500
K1 K 0.500 0.500 0.500
Ga1 Ga 0.000 0.000 0.000
Ba1 Ba 0.000 0.500 0.000
Ba2 Ba 0.500 0.000 0.000
# Space-group type: P4/mmm
# ΔE_f: -5.00 kJ/mol of atoms
# DFT total energy: -2.05 eV per atom

No. 5
# GGA-PBE BaCa2LaGa, relaxed
data_BaCa2LaGa
_chemical_formula_sum 'Ba1 Ca2 La1 Ga1'
_symmetry_space_group_name_H-M 'P 1'
_symmetry_Int_Tables_number 1
_symmetry_space_group_name_Hall 'P 1'
_cell_length_a 5.951
_cell_length_b 5.951
_cell_length_c 6.018
_cell_angle_alpha 90.00
_cell_angle_beta 90.00
_cell_angle_gamma 90.00
loop_
_atom_site_label
_atom_site_type_symbol
_atom_site_fract_x
_atom_site_fract_y
_atom_site_fract_z
Ca1 Ca 0.500 0.000 0.000
Ga1 Ga 0.000 0.000 0.000
Ca2 Ca 0.000 0.500 0.000
Ba1 Ba 0.500 0.500 0.500
La1 La 0.000 0.000 0.500
# Space-group type: P4/mmm
# ΔE_f: -5.46 kJ/mol of atoms
# DFT total energy: -2.83 eV per atom

No. 6
# GGA-PBE BaLiCaGa, relaxed
data_BaLiCaGa
_chemical_formula_sum 'Ba1 Li1 Ca1 Ga1'
_symmetry_space_group_name_H-M 'P 1'
_symmetry_Int_Tables_number 1
_symmetry_space_group_name_Hall 'P 1'
_cell_length_a 5.634
_cell_length_b 5.634
_cell_length_c 5.634
_cell_angle_alpha 60.00
_cell_angle_beta 60.00
_cell_angle_gamma 60.00
loop_
_atom_site_label
_atom_site_type_symbol
_atom_site_fract_x
_atom_site_fract_y
_atom_site_fract_z
Li1 Li 0.750 0.750 0.750
Ga1 Ga 0.250 0.250 0.250
Ca1 Ca 0.500 0.500 0.500
Ba1 Ba 0.000 0.000 0.000
# Space-group type: F-43m
# Energy above the most stable polymorph in this dataset: 0.00 eV per formula unit
# ΔE_f: -17.40 kJ/mol of atoms
# DFT total energy: -2.40 eV per atom

No. 7
# GGA-PBE BaLiCaGa, relaxed
data_BaLiCaGa
_chemical_formula_sum 'Ba1 Li1 Ca1 Ga1'
_symmetry_space_group_name_H-M 'P 1'
_symmetry_Int_Tables_number 1
_symmetry_space_group_name_Hall 'P 1'
_cell_length_a 4.758
_cell_length_b 4.758
_cell_length_c 7.787
_cell_angle_alpha 90.03
_cell_angle_beta 107.78
_cell_angle_gamma 119.96
loop_
_atom_site_label
_atom_site_type_symbol
_atom_site_fract_x
_atom_site_fract_y
_atom_site_fract_z
Ga1 Ga 0.827 0.278 0.104
Li1 Li 0.490 0.610 0.100
Ca1 Ca 0.012 0.870 0.882
Ba1 Ba 0.363 0.046 0.410
# Space-group type: R3m
# Energy above the most stable polymorph in this dataset: 0.07 eV per formula unit
# ΔE_f: -15.72 kJ/mol of atoms
# DFT total energy: -2.38 eV per atom

No. 8
# GGA-PBE Ba2LiCaGa, relaxed
data_Ba2LiCaGa
_chemical_formula_sum 'Ba2 Li1 Ca1 Ga1'
_symmetry_space_group_name_H-M 'P 1'
_symmetry_Int_Tables_number 1
_symmetry_space_group_name_Hall 'P 1'
_cell_length_a 6.584
_cell_length_b 6.584
_cell_length_c 5.132
_cell_angle_alpha 90.00
_cell_angle_beta 90.00
_cell_angle_gamma 90.00
loop_
_atom_site_label
_atom_site_type_symbol
_atom_site_fract_x
_atom_site_fract_y
_atom_site_fract_z
Ga1 Ga 0.000 0.000 0.000
Ca1 Ca 0.500 0.500 0.500
Ba1 Ba 0.000 0.500 0.000
Ba2 Ba 0.500 0.000 0.000
Li1 Li 0.000 0.000 0.500
# Space-group type: P4/mmm
# ΔE_f: 2.01 kJ/mol of atoms
# DFT total energy: -2.14 eV per atom